Record 1
KHSe2N: relaxed, PBE.

symmetry = P4/mmm
relative energy among the computed polymorphs = 1.0036 eV per atom
electronic total energy = -2.14 eV per atom

abc: 6.532 6.532 5.975
angles: 90.00 90.00 90.00
Site moments in Bohr magnetons follow the coordinates.
Fractional positions:
K: 0.000 0.000 0.000  0.01
H: 0.500 0.500 0.500  0.38
Se: 0.000 0.500 0.000  0.89
Se: 0.500 0.000 0.000  0.89
N: 0.000 0.000 0.500  1.85

=====

Record 2
BeHgRh2: relaxed, PBE.

energy of formation from the pure elements = 73 kJ/mol of formula units
symmetry = R3m
relative energy among the computed polymorphs = 0.3404 eV per atom
electronic total energy = -4.49 eV per atom

abc: 8.752 8.752 8.752
angles: 18.62 18.62 18.62
Site moments in Bohr magnetons follow the coordinates.
Fractional positions:
Be: 0.511 0.511 0.511  0.00
Rh: 0.241 0.241 0.241  0.31
Rh: 0.993 0.993 0.993  0.69
Hg: 0.755 0.755 0.755  0.01

=====

Record 3
HoScCd: relaxed, PBE.

energy of formation from the pure elements = -51 kJ/mol of formula units
symmetry = I4mm
relative energy among the computed polymorphs = 0.0000 eV per atom
electronic total energy = -4.12 eV per atom

abc: 3.455 3.455 6.836
angles: 104.64 104.64 90.00
Site moments in Bohr magnetons follow the coordinates.
Fractional positions:
Ho: 0.004 0.004 0.008  0.32
Cd: 0.674 0.674 0.349  0.01
Sc: 0.322 0.322 0.643  0.31

=====

Record 4
LiHfTcPt2: relaxed, PBE.

energy of formation from the pure elements = 309 kJ/mol of formula units
symmetry = P4/mmm
relative energy among the computed polymorphs = 0.6486 eV per atom
electronic total energy = -6.22 eV per atom

abc: 4.786 4.234 4.786
angles: 90.00 90.00 90.00
Fractional positions:
Pt: 0.000 0.000 0.500
Pt: 0.500 0.000 0.000
Tc: 0.000 0.000 0.000
Li: 0.000 0.500 0.000
Hf: 0.500 0.500 0.500

=====

- The highest relative energy among the computed polymorphs belongs to which entry?
  KHSe2N

=====

- The highest electronic total energy belongs to which entry?
  KHSe2N

=====

- The highest relative energy among the computed polymorphs belongs to which entry?
  KHSe2N